DFT (PBE) results for DyP2Rh5Pb after structural relaxation.

```
data_DyP2Rh5Pb
_cell_length_a 4.061
_cell_length_b 4.061
_cell_length_c 10.303
_cell_angle_alpha 90.00
_cell_angle_beta 90.00
_cell_angle_gamma 90.00
_space_group_name_H-M_alt 'P 1'
_space_group_IT_number 1
loop_
_space_group_symop_operation_xyz
'x,y,z'
loop_
_atom_site_label
_atom_site_fract_x
_atom_site_fract_y
_atom_site_fract_z
Rh1 0.500 0.000 0.186
Rh2 0.000 0.500 0.814
Rh3 0.500 0.500 0.500
Rh4 0.000 0.500 0.186
Rh5 0.500 0.000 0.814
Pb1 0.000 0.000 0.000
Dy1 0.000 0.000 0.500
P1 0.500 0.500 0.282
P2 0.500 0.500 0.718
```

The density of states at the Fermi level comes out at 3.68 states/eV/f.u. As for the total energy: -61.06 eV/cell. The magnetization comes out at 0.000 μB per formula unit. The value obtained for the energy of formation from the pure elements is -575 meV per atom.

DFT (PBE) results for KBaRe2F after structural relaxation.

```
data_KBaRe2F
_cell_length_a 6.501
_cell_length_b 4.915
_cell_length_c 6.501
_cell_angle_alpha 90.00
_cell_angle_beta 90.00
_cell_angle_gamma 90.00
_space_group_name_H-M_alt 'P 1'
_space_group_IT_number 1
loop_
_space_group_symop_operation_xyz
'x,y,z'
loop_
_atom_site_label
_atom_site_fract_x
_atom_site_fract_y
_atom_site_fract_z
Re1 0.500 0.000 0.000
Re2 0.000 0.000 0.500
F1 0.000 0.500 0.000
K1 0.500 0.500 0.500
Ba1 0.000 0.000 0.000
```

The density of states at the Fermi level comes out at 4.83 states/eV/f.u. As for the total energy: -22.42 eV/cell. The magnetization comes out at 8.149 μB per formula unit. For the formation energy without anion corrections, the calculation gives 711 kJ/mol of formula units.

DFT (PBE) results for Tl2InN after structural relaxation.

```
data_Tl2InN
_cell_length_a 5.101
_cell_length_b 5.101
_cell_length_c 5.101
_cell_angle_alpha 60.00
_cell_angle_beta 60.00
_cell_angle_gamma 60.00
_space_group_name_H-M_alt 'P 1'
_space_group_IT_number 1
loop_
_space_group_symop_operation_xyz
'x,y,z'
loop_
_atom_site_label
_atom_site_fract_x
_atom_site_fract_y
_atom_site_fract_z
Tl1 0.750 0.750 0.750
Tl2 0.250 0.250 0.250
N1 0.000 0.000 0.000
In1 0.500 0.500 0.500
```

The energy above the lowest structure with this stoichiometry is 397 meV/atom. The density of states at the Fermi level comes out at 1.26 states/eV/f.u. As for the total energy: -11.69 eV/cell. The magnetization comes out at 0.000 μB per formula unit. For the formation energy without anion corrections, the calculation gives 396 kJ/mol of formula units.

DFT (PBE) results for CeInOs after structural relaxation.

```
data_CeInOs
_cell_length_a 3.268
_cell_length_b 3.268
_cell_length_c 6.513
_cell_angle_alpha 104.53
_cell_angle_beta 104.53
_cell_angle_gamma 90.00
_space_group_name_H-M_alt 'P 1'
_space_group_IT_number 1
loop_
_space_group_symop_operation_xyz
'x,y,z'
loop_
_atom_site_label
_atom_site_fract_x
_atom_site_fract_y
_atom_site_fract_z
Ce1 0.309 0.309 0.618
Os1 0.665 0.665 0.330
In1 0.026 0.026 0.052
```

The density of states at the Fermi level comes out at 3.41 states/eV/f.u. As for the total energy: -20.11 eV/cell. The magnetization comes out at 0.000 μB per formula unit. The value obtained for the energy of formation from the pure elements is -69 meV per atom.

DFT (PBE) results for ScCrAg2 after structural relaxation.

```
data_ScCrAg2
_cell_length_a 9.577
_cell_length_b 9.577
_cell_length_c 9.577
_cell_angle_alpha 18.36
_cell_angle_beta 18.36
_cell_angle_gamma 18.36
_space_group_name_H-M_alt 'P 1'
_space_group_IT_number 1
loop_
_space_group_symop_operation_xyz
'x,y,z'
loop_
_atom_site_label
_atom_site_fract_x
_atom_site_fract_y
_atom_site_fract_z
Sc1 0.750 0.750 0.750
Cr1 0.250 0.250 0.250
Ag1 0.998 0.998 0.998
Ag2 0.502 0.502 0.502
```

The energy above the lowest structure with this stoichiometry is 255 meV/atom. The density of states at the Fermi level comes out at 2.89 states/eV/f.u. As for the total energy: -20.29 eV/cell. The magnetization comes out at 4.275 μB per formula unit. The value obtained for the energy of formation from the pure elements is 343 meV per atom.

DFT (PBE) results for RbTl2Cd after structural relaxation.

```
data_RbTl2Cd
_cell_length_a 5.683
_cell_length_b 5.683
_cell_length_c 11.556
_cell_angle_alpha 75.76
_cell_angle_beta 75.76
_cell_angle_gamma 90.00
_space_group_name_H-M_alt 'P 1'
_space_group_IT_number 1
loop_
_space_group_symop_operation_xyz
'x,y,z'
loop_
_atom_site_label
_atom_site_fract_x
_atom_site_fract_y
_atom_site_fract_z
Cd1 0.750 0.250 0.500
Cd2 0.000 0.000 0.000
Tl1 0.975 0.625 0.250
Tl2 0.875 0.025 0.750
Tl3 0.375 0.225 0.750
Tl4 0.775 0.125 0.250
Rb1 0.250 0.750 0.500
Rb2 0.500 0.500 0.000
```

The energy above the lowest structure with this stoichiometry is 164 meV/atom. The density of states at the Fermi level comes out at 1.36 states/eV/f.u. As for the total energy: -12.59 eV/cell. The magnetization comes out at 0.000 μB per formula unit. The value obtained for the energy of formation from the pure elements is 80 meV per atom.

DFT (PBE) results for ZnCuSe after structural relaxation.

```
data_ZnCuSe
_cell_length_a 4.636
_cell_length_b 4.636
_cell_length_c 4.636
_cell_angle_alpha 134.20
_cell_angle_beta 134.22
_cell_angle_gamma 66.77
_space_group_name_H-M_alt 'P 1'
_space_group_IT_number 1
loop_
_space_group_symop_operation_xyz
'x,y,z'
loop_
_atom_site_label
_atom_site_fract_x
_atom_site_fract_y
_atom_site_fract_z
Zn1 0.670 0.670 0.000
Se1 0.330 0.330 0.000
Cu1 0.999 0.999 0.000
```

The energy above the lowest structure with this stoichiometry is 154 meV/atom. The density of states at the Fermi level comes out at 1.67 states/eV/f.u. As for the total energy: -8.50 eV/cell. The magnetization comes out at 0.000 μB per formula unit. For the formation energy without anion corrections, the calculation gives 34 kJ/mol of formula units.

DFT (PBE) results for K2TcIr after structural relaxation.

```
data_K2TcIr
_cell_length_a 10.418
_cell_length_b 10.418
_cell_length_c 3.938
_cell_angle_alpha 79.51
_cell_angle_beta 79.51
_cell_angle_gamma 17.52
_space_group_name_H-M_alt 'P 1'
_space_group_IT_number 1
loop_
_space_group_symop_operation_xyz
'x,y,z'
loop_
_atom_site_label
_atom_site_fract_x
_atom_site_fract_y
_atom_site_fract_z
K1 0.893 0.893 0.112
K2 0.607 0.607 0.388
Tc1 0.750 0.750 0.750
Ir1 0.250 0.250 0.250
```

The energy above the lowest structure with this stoichiometry is 121 meV/atom. The density of states at the Fermi level comes out at 3.50 states/eV/f.u. As for the total energy: -18.82 eV/cell. The magnetization comes out at 0.000 μB per formula unit. The value obtained for the energy of formation from the pure elements is 650 meV per atom.

DFT (PBE) results for Hf5Sc3N8 after structural relaxation.

```
data_Hf5Sc3N8
_cell_length_a 6.401
_cell_length_b 6.401
_cell_length_c 6.405
_cell_angle_alpha 60.02
_cell_angle_beta 60.02
_cell_angle_gamma 60.00
_space_group_name_H-M_alt 'P 1'
_space_group_IT_number 1
loop_
_space_group_symop_operation_xyz
'x,y,z'
loop_
_atom_site_label
_atom_site_fract_x
_atom_site_fract_y
_atom_site_fract_z
N1 0.748 0.748 0.756
N2 0.252 0.252 0.244
N3 0.250 0.747 0.752
N4 0.747 0.250 0.752
N5 0.253 0.750 0.248
N6 0.750 0.750 0.248
N7 0.250 0.250 0.752
N8 0.750 0.253 0.248
Sc1 0.000 0.000 0.500
Sc2 0.000 0.500 0.500
Sc3 0.500 0.000 0.500
Hf1 0.000 0.000 0.000
Hf2 0.500 0.000 0.000
Hf3 0.500 0.500 0.500
Hf4 0.000 0.500 0.000
Hf5 0.500 0.500 0.000
```

The density of states at the Fermi level comes out at 5.55 states/eV/f.u. As for the total energy: -165.45 eV/cell. The magnetization comes out at 0.000 μB per formula unit. For the formation energy without anion corrections, the calculation gives -2903 kJ/mol of formula units.

DFT (PBE) results for Ac5Sb4Se after structural relaxation.

```
data_Ac5Sb4Se
_cell_length_a 4.747
_cell_length_b 6.712
_cell_length_c 12.527
_cell_angle_alpha 105.57
_cell_angle_beta 100.92
_cell_angle_gamma 90.03
_space_group_name_H-M_alt 'P 1'
_space_group_IT_number 1
loop_
_space_group_symop_operation_xyz
'x,y,z'
loop_
_atom_site_label
_atom_site_fract_x
_atom_site_fract_y
_atom_site_fract_z
Ac1 0.598 0.098 0.195
Ac2 0.799 0.299 0.598
Ac3 0.201 0.701 0.402
Ac4 0.402 0.902 0.805
Ac5 0.000 0.500 0.000
Se1 0.000 0.000 0.000
Sb1 0.197 0.197 0.394
Sb2 0.803 0.803 0.606
Sb3 0.401 0.401 0.802
Sb4 0.599 0.599 0.198
```

The energy above the lowest structure with this stoichiometry is 0 meV/atom. The density of states at the Fermi level comes out at 3.30 states/eV/f.u. As for the total energy: -54.13 eV/cell. The magnetization comes out at 0.000 μB per formula unit. For the formation energy without anion corrections, the calculation gives -1314 kJ/mol of formula units.

DFT (PBE) results for LaSi2Pd2Rh after structural relaxation.

```
data_LaSi2Pd2Rh
_cell_length_a 4.582
_cell_length_b 4.582
_cell_length_c 5.569
_cell_angle_alpha 90.00
_cell_angle_beta 90.00
_cell_angle_gamma 90.00
_space_group_name_H-M_alt 'P 1'
_space_group_IT_number 1
loop_
_space_group_symop_operation_xyz
'x,y,z'
loop_
_atom_site_label
_atom_site_fract_x
_atom_site_fract_y
_atom_site_fract_z
Pd1 0.500 0.500 0.250
Pd2 0.500 0.500 0.750
Si1 0.000 0.500 0.000
Si2 0.500 0.000 0.000
Rh1 0.000 0.000 0.000
La1 0.000 0.000 0.500
```

The density of states at the Fermi level comes out at 2.02 states/eV/f.u. As for the total energy: -36.85 eV/cell. The magnetization comes out at 0.000 μB per formula unit. For the formation energy without anion corrections, the calculation gives -323 kJ/mol of formula units.

DFT (PBE) results for La6Ir2PdBr3 after structural relaxation.

```
data_La6Ir2PdBr3
_cell_length_a 4.239
_cell_length_b 9.309
_cell_length_c 10.223
_cell_angle_alpha 110.12
_cell_angle_beta 101.97
_cell_angle_gamma 90.00
_space_group_name_H-M_alt 'P 1'
_space_group_IT_number 1
loop_
_space_group_symop_operation_xyz
'x,y,z'
loop_
_atom_site_label
_atom_site_fract_x
_atom_site_fract_y
_atom_site_fract_z
Br1 0.500 0.500 0.000
Br2 0.834 0.167 0.669
Br3 0.166 0.833 0.331
Ir1 0.834 0.668 0.668
Ir2 0.166 0.332 0.332
La1 0.679 0.552 0.359
La2 0.321 0.448 0.641
La3 0.341 0.881 0.681
La4 0.659 0.119 0.319
La5 0.985 0.771 0.970
La6 0.015 0.229 0.030
Pd1 0.500 0.000 0.000
```

The density of states at the Fermi level comes out at 6.23 states/eV/f.u. As for the total energy: -71.89 eV/cell. The magnetization comes out at 0.000 μB per formula unit. For the formation energy without anion corrections, the calculation gives -1389 kJ/mol of formula units.

Which value of density of states at the Fermi level does entry 1 give? 3.68 states/eV/f.u.

Which of these has the lowest density of states at the Fermi level? Tl2InN

What did the eighth record say?
DFT (PBE) results for K2TcIr after structural relaxation.

```
data_K2TcIr
_cell_length_a 10.418
_cell_length_b 10.418
_cell_length_c 3.938
_cell_angle_alpha 79.51
_cell_angle_beta 79.51
_cell_angle_gamma 17.52
_space_group_name_H-M_alt 'P 1'
_space_group_IT_number 1
loop_
_space_group_symop_operation_xyz
'x,y,z'
loop_
_atom_site_label
_atom_site_fract_x
_atom_site_fract_y
_atom_site_fract_z
K1 0.893 0.893 0.112
K2 0.607 0.607 0.388
Tc1 0.750 0.750 0.750
Ir1 0.250 0.250 0.250
```

The energy above the lowest structure with this stoichiometry is 121 meV/atom. The density of states at the Fermi level comes out at 3.50 states/eV/f.u. As for the total energy: -18.82 eV/cell. The magnetization comes out at 0.000 μB per formula unit. The value obtained for the energy of formation from the pure elements is 650 meV per atom.